First-principles (PBE) data for a relaxed Li3LaCe2Se6 crystal, as listed in the Alexandria database.

Cell lengths 7.363, 7.363, 6.935 Å; angles 100.16, 100.16, 120.02 degrees
Atoms (fractional coordinates):
Li1 0.000 0.000 0.000
Li2 0.331 0.669 0.000
Li3 0.669 0.331 0.000
La1 0.500 0.500 0.500
Ce1 0.166 0.834 0.500
Ce2 0.834 0.166 0.500
Se1 0.076 0.414 0.241
Se2 0.249 0.249 0.761
Se3 0.414 0.076 0.241
Se4 0.586 0.924 0.759
Se5 0.751 0.751 0.239
Se6 0.924 0.586 0.759

Output
Final energy in eV/atom: -5.259
Uncorrected formation energy in eV per atom: -1.64